Entry from the Alexandria database: crystalline ZnPtCl2 at its relaxed geometry (PBE-GGA).

VASP energy ... -21.36 eV/cell
Calculated volume ... 154.17 Å³ per cell

a = 3.149 Å, b = 6.149 Å, c = 7.962 Å
α = 90.00°, β = 90.00°, γ = 90.00°
Space group Immm (No. 71)
Asymmetric unit:
Zn 0.000 0.000 0.000 [2 per cell]
Pt 0.000 0.000 0.500 [2 per cell]
Cl 0.000 0.500 0.263 [4 per cell]

Entry from the Alexandria database: crystalline Sm5TeIr2 at its relaxed geometry (PBE-GGA).

VASP energy ... -203.34 eV/cell
Calculated volume ... 867.94 Å³ per cell

a = 7.986 Å, b = 7.986 Å, c = 13.608 Å
α = 90.00°, β = 90.00°, γ = 90.00°
Space group I4/mcm (No. 140)
Asymmetric unit:
Sm 0.000 0.000 0.000 [4 per cell]
Sm 0.156 0.344 0.134 [16 per cell]
Te 0.000 0.000 0.250 [4 per cell]
Ir 0.141 0.359 0.500 [8 per cell]

- The lowest VASP energy belongs to which entry?
  Sm5TeIr2

Please write out number 2 again, unchanged.
Entry from the Alexandria database: crystalline Sm5TeIr2 at its relaxed geometry (PBE-GGA).

VASP energy ... -203.34 eV/cell
Calculated volume ... 867.94 Å³ per cell

a = 7.986 Å, b = 7.986 Å, c = 13.608 Å
α = 90.00°, β = 90.00°, γ = 90.00°
Space group I4/mcm (No. 140)
Asymmetric unit:
Sm 0.000 0.000 0.000 [4 per cell]
Sm 0.156 0.344 0.134 [16 per cell]
Te 0.000 0.000 0.250 [4 per cell]
Ir 0.141 0.359 0.500 [8 per cell]

- What is the VASP energy in the second record?
  -203.34 eV/cell